No. 1
{"formula": "Cs2Tl3CdIn4", "functional": "PBE-GGA", "state": "optimized geometry", "n_ef_per_ev_atom": 0.5985, "formation_energy_ev_per_atom": -0.07, "density_g_cm3": 6.78, "spacegroup": "P-4m2, No. 115", "e_tot_ev_per_atom": -2.138, "cell": [[-5.137, 0.875, 0.753], [-1.067, -4.910, -1.572], [1.074, -4.105, 12.091]], "species": ["Cs", "Cs", "Tl", "Tl", "Tl", "Cd", "In", "In", "In", "In"], "frac_coords": [[0.500, 0.000, 0.251], [0.000, 0.500, 0.749], [0.000, 0.000, 0.500], [0.500, 0.000, 0.866], [0.000, 0.500, 0.134], [0.500, 0.500, 0.500], [0.500, 0.500, 0.000], [0.000, 0.000, 0.000], [0.500, 0.000, 0.624], [0.000, 0.500, 0.376]]}

=====

No. 2
{"formula": "CrRh3", "functional": "PBE-GGA", "state": "optimized geometry", "n_ef_per_ev_atom": 1.0654, "formation_energy_ev_per_atom": -0.07, "density_g_cm3": 11.05, "spacegroup": "Pmm2, No. 25", "e_tot_ev_per_atom": -7.994, "cell": [[2.711, 0.000, 0.000], [0.000, 4.274, 0.000], [0.000, 0.000, 4.679]], "species": ["Cr", "Rh", "Rh", "Rh"], "frac_coords": [[0.000, 0.000, 0.006], [0.000, 0.500, 0.328], [0.500, 0.000, 0.496], [0.500, 0.500, 0.836]]}

=====

No. 3
{"formula": "K2SrCr", "functional": "PBE-GGA", "state": "optimized geometry", "n_ef_per_ev_atom": 0.8939, "formation_energy_ev_per_atom": 0.70, "density_g_cm3": 1.81, "spacegroup": "Cmmm, No. 65", "e_tot_ev_per_atom": -2.673, "cell": [[4.224, 0.054, 0.000], [-0.040, 4.224, 0.000], [0.000, 0.000, 11.225]], "species": ["Cr", "K", "K", "Sr"], "frac_coords": [[0.500, 0.500, 0.750], [0.000, 0.000, 0.944], [0.000, 0.000, 0.556], [0.500, 0.500, 0.250]]}

=====

No. 4
{"formula": "Gd2ScHg", "functional": "PBE-GGA", "state": "optimized geometry", "n_ef_per_ev_atom": 1.6134, "formation_energy_ev_per_atom": -0.10, "density_g_cm3": 8.62, "spacegroup": "Fm-3m, No. 225", "e_tot_ev_per_atom": -8.799, "cell": [[5.343, 0.000, 0.000], [2.672, 4.627, 0.000], [2.672, 1.542, 4.363]], "species": ["Sc", "Gd", "Gd", "Hg"], "frac_coords": [[0.500, 0.500, 0.500], [0.250, 0.250, 0.250], [0.750, 0.750, 0.750], [0.000, 0.000, 0.000]]}

=====

No. 5
{"formula": "Ho2GaSi2", "functional": "PBE-GGA", "state": "optimized geometry", "n_ef_per_ev_atom": 0.5811, "density_g_cm3": 7.50, "spacegroup": "Immm, No. 71", "e_tot_ev_per_atom": -5.297, "e_form_raw_ev_per_fu": -3.45, "cell": [[-2.295, -2.936, -1.617], [-1.660, -3.640, 3.861], [-5.271, 0.355, 1.733]], "species": ["Ho", "Ho", "Ga", "Si", "Si"], "frac_coords": [[0.786, 0.714, 0.714], [0.214, 0.286, 0.286], [0.000, 0.000, 0.000], [0.500, 0.705, 0.295], [0.500, 0.295, 0.705]]}

=====

No. 6
{"formula": "Tl2InSn", "functional": "PBE-GGA", "state": "optimized geometry", "n_ef_per_ev_atom": 0.5828, "formation_energy_ev_per_atom": 0.04, "density_g_cm3": 9.11, "spacegroup": "P4/mmm, No. 123", "e_tot_ev_per_atom": -2.829, "cell": [[3.341, 0.000, 0.000], [0.000, 3.341, 0.000], [0.000, 0.000, 10.495]], "species": ["Tl", "Tl", "Sn", "In"], "frac_coords": [[0.000, 0.000, 0.751], [0.000, 0.000, 0.249], [0.500, 0.500, 0.500], [0.500, 0.500, 0.000]]}

=====

No. 7
{"formula": "NbSb2Au", "functional": "PBE-GGA", "state": "optimized geometry", "n_ef_per_ev_atom": 0.5579, "density_g_cm3": 9.59, "spacegroup": "R-3m, No. 166", "e_tot_ev_per_atom": -4.912, "e_form_raw_ev_per_fu": 1.94, "cell": [[3.040, 0.000, 0.000], [1.520, 2.633, 0.000], [1.520, 0.878, 11.534]], "species": ["Sb", "Sb", "Nb", "Au"], "frac_coords": [[0.085, 0.085, 0.746], [0.915, 0.915, 0.254], [0.000, 0.000, 0.000], [0.500, 0.500, 0.500]]}

=====

No. 8
{"formula": "DyPd2Au2", "functional": "PBE-GGA", "state": "optimized geometry", "n_ef_per_ev_atom": 0.4770, "formation_energy_ev_per_atom": -0.27, "density_g_cm3": 11.77, "spacegroup": "I4/mmm, No. 139", "e_tot_ev_per_atom": -4.578, "cell": [[-0.308, -0.724, -4.978], [4.885, -1.231, -0.123], [-3.305, -3.122, 3.209]], "species": ["Dy", "Pd", "Pd", "Au", "Au"], "frac_coords": [[0.000, 0.000, 0.000], [0.250, 0.750, 0.500], [0.750, 0.250, 0.500], [0.653, 0.653, 0.306], [0.347, 0.347, 0.694]]}